No. 1
An optimized crystal structure of PbI2N2, computed with PBE.

Results
Total moment = 0.702 μB per atom
Symmetry = No. 123
Density of states at the Fermi level = 3.65 states/eV/f.u.
Energy relative to the lowest polymorph listed for this composition = 1978 meV per atom
Energy = -3.104 eV per atom

Cell lengths 4.769, 4.769, 6.535 Å; angles 90.00, 90.00, 90.00 degrees
Fractional positions:
Pb: 0.000 0.000 0.000
I: 0.000 0.000 0.500
I: 0.500 0.500 0.500
N: 0.000 0.500 0.000
N: 0.500 0.000 0.000



No. 2
An optimized crystal structure of PaSIO6, computed with PBE.

Results
Total moment = 0.001 μB per atom
Symmetry = No. 1
Density of states at the Fermi level = 0.00 states/eV/f.u.
Energy = -6.893 eV per atom

Cell lengths 5.384, 5.961, 7.598 Å; angles 84.99, 76.61, 63.60 degrees
Fractional positions:
Pa: 0.000 0.000 0.000
S: 0.710 0.576 0.999
I: 0.505 0.993 0.501
O: 0.254 0.988 0.772
O: 0.421 0.740 0.106
O: 0.686 0.402 0.881
O: 0.758 0.993 0.229
O: 0.838 0.736 0.892
O: 0.903 0.412 0.118



No. 3
An optimized crystal structure of RbLiTb2Te4, computed with PBE.

Results
Total moment = 0.000 μB per atom
Symmetry = No. 63
Energy = -4.412 eV per atom

Cell lengths 7.924, 7.924, 15.807 Å; angles 90.00, 90.00, 146.92 degrees
Fractional positions:
Rb: 0.112 0.888 0.750
Rb: 0.888 0.112 0.250
Li: 0.167 0.833 0.250
Li: 0.833 0.167 0.750
Tb: 0.367 0.633 0.563
Tb: 0.367 0.633 0.937
Tb: 0.633 0.367 0.063
Tb: 0.633 0.367 0.437
Te: 0.000 0.000 0.000
Te: 0.000 0.000 0.500
Te: 0.265 0.735 0.107
Te: 0.265 0.735 0.393
Te: 0.430 0.570 0.750
Te: 0.570 0.430 0.250
Te: 0.735 0.265 0.607
Te: 0.735 0.265 0.893